Material: Tc2NiO
Method: DFT, PBE with a Hubbard U
State: relaxed

Values from the calculation:
Calculated total energy, eV per atom: -6.308

```
data_Tc2NiO
_chemical_formula_sum 'Tc8 Ni4 O4'
_space_group_name_H-M_alt 'I -4 2 d'
_space_group_IT_number 122
_space_group_name_Hall 'I -4 2bw'
_cell_length_a 4.058
_cell_length_b 4.058
_cell_length_c 13.549
_cell_angle_alpha 90.00
_cell_angle_beta 90.00
_cell_angle_gamma 90.00
loop_
_atom_site_label
_atom_site_type_symbol
_atom_site_fract_x
_atom_site_fract_y
_atom_site_fract_z
Tc1 Tc 0.168 0.250 0.125
Ni1 Ni 0.000 0.000 0.500
O1 O 0.000 0.000 0.000
```